DFT (PBE) results for an optimized crystal structure of Ce2EuSn.

Results
The calculation puts the size of the total moment at 9.84 μB/cell. For the volume, the calculation gives 116.2 Å³/f.u. The total DFT energy (no corrections) is -6.8706 eV per atom. As for the energy above the most stable polymorph in this dataset: 0.0 meV per atom. For the energy of formation, the calculation gives -334 meV per atom. Its space group is P4/mmm, No. 123.

abc: 4.832 4.832 4.977
angles: 90.00 90.00 90.00
Atoms (fractional coordinates):
1 Ce 0.000 0.500 0.000
2 Ce 0.500 0.000 0.000
3 Eu 0.000 0.000 0.500
4 Sn 0.500 0.500 0.500

---

DFT (PBE) results for an optimized crystal structure of Sr4LaCd.

Results
The calculation puts the size of the total moment at 1.54 μB/cell. For the volume, the calculation gives 285.2 Å³/f.u. The total DFT energy (no corrections) is -1.7087 eV per atom. For the energy of formation, the calculation gives 386 meV per atom. Its space group is F-43m, No. 216.

abc: 7.389 7.389 7.389
angles: 60.00 60.00 60.00
Atoms (fractional coordinates):
1 Sr 0.125 0.125 0.125
2 Sr 0.125 0.125 0.624
3 Sr 0.125 0.624 0.125
4 Sr 0.624 0.125 0.125
5 La 0.500 0.500 0.500
6 Cd 0.750 0.750 0.750

---

DFT (PBE) results for an optimized crystal structure of BaZr2W.

Results
The calculation puts the size of the total moment at 0.00 μB/cell. For the volume, the calculation gives 107.3 Å³/f.u. The total DFT energy (no corrections) is -7.2320 eV per atom. As for the energy above the most stable polymorph in this dataset: 419.7 meV per atom. For the energy of formation, the calculation gives 761 meV per atom. Its space group is Immm, No. 71.

abc: 3.285 6.096 10.719
angles: 90.00 90.00 90.00
Atoms (fractional coordinates):
1 Ba 0.000 0.000 0.000
2 Ba 0.500 0.500 0.500
3 Zr 0.000 0.500 0.203
4 Zr 0.000 0.500 0.797
5 Zr 0.500 0.000 0.297
6 Zr 0.500 0.000 0.703
7 W 0.000 0.000 0.500
8 W 0.500 0.500 0.000